1.
Compound: TmPd3Au4
Source: Alexandria
Functional: PBE-GGA
Structure: optimized geometry

Calculated values
ΔH_f (0 K) = -2.02 eV per formula unit

Cell: 10.237 10.237 3.769 Å, 90.07 90.07 23.89°
Sites, in units of the cell vectors:
1 Tm 0.000 0.000 0.000
2 Pd 0.300 0.300 0.500
3 Pd 0.500 0.500 0.500
4 Pd 0.700 0.700 0.500
5 Au 0.195 0.195 0.000
6 Au 0.399 0.399 0.000
7 Au 0.601 0.601 0.000
8 Au 0.805 0.805 0.000


2.
Compound: MgTlSnTe3
Source: Alexandria
Functional: PBE-GGA
Structure: optimized geometry

Calculated values
formation energy without anion corrections = -0.42 eV/atom

Cell: 9.472 4.339 10.350 Å, 90.00 103.40 90.00°
Sites, in units of the cell vectors:
1 Mg 0.082 0.250 0.112
2 Mg 0.918 0.750 0.888
3 Tl 0.199 0.250 0.739
4 Tl 0.801 0.750 0.261
5 Sn 0.333 0.750 0.385
6 Sn 0.667 0.250 0.615
7 Te 0.104 0.250 0.388
8 Te 0.220 0.750 0.022
9 Te 0.458 0.750 0.676
10 Te 0.542 0.250 0.324
11 Te 0.780 0.250 0.978
12 Te 0.896 0.750 0.612


3.
Compound: Dy3Y
Source: Alexandria
Functional: PBE-GGA
Structure: optimized geometry

Calculated values
distance to the lowest polymorph of the same formula = 13 meV/atom
ΔH_f (0 K) = 0.07 eV per formula unit

Cell: 3.548 5.019 7.098 Å, 90.00 90.00 90.00°
Sites, in units of the cell vectors:
1 Dy 0.000 0.000 0.000
2 Dy 0.500 0.500 0.249
3 Dy 0.500 0.500 0.751
4 Y 0.000 0.000 0.500


4.
Compound: LaVH6
Source: Alexandria
Functional: PBE-GGA
Structure: optimized geometry

Calculated values
calculated total energy = -0.1637 hartree per atom

Cell: 4.297 4.297 4.297 Å, 96.74 96.74 96.74°
Sites, in units of the cell vectors:
1 La 0.000 0.000 0.000
2 V 0.500 0.500 0.500
3 H 0.199 0.199 0.552
4 H 0.199 0.552 0.199
5 H 0.448 0.801 0.801
6 H 0.552 0.199 0.199
7 H 0.801 0.448 0.801
8 H 0.801 0.801 0.448


Let's list spin magnetization in order: 0.00; 0.00; 0.00; 0.25 μB per atom.
Let's list calculated volume in order: 20.00; 34.49; 31.60; 9.70 Å³/atom.